# 1
The following is a DFT calculation (PBE) of Na2SiBPt6 after structural relaxation.

* magnetic moment: 0.000 μB/f.u.
* raw formation energy: -0.32 eV/atom

a b c (Å): 5.9316 6.6438 5.9332
angles (deg): 56.17 67.78 89.94
With the nearest neighbours (Å) after each atom.
Positions (direct):
Na (0.7880, 0.2130, 0.5733)  1 Si 2.90, 6 Pt 2.93-3.07
Na (0.2120, 0.7870, 0.4267)  1 Si 2.90, 6 Pt 2.93-3.07
Si (0.0000, 0.0000, 0.0000)  6 Pt 2.39-2.40
B (0.5000, 0.5000, 0.0000)  6 Pt 2.15-2.16
Pt (0.3306, 0.2290, 0.4900)  1 B 2.16, 1 Si 2.39
Pt (0.7175, 0.6701, 0.1006)  1 B 2.15, 1 Si 2.40
Pt (0.2286, 0.7183, 0.9524)  1 B 2.16, 1 Si 2.39
Pt (0.7714, 0.2817, 0.0476)  1 B 2.16, 1 Si 2.39
Pt (0.2825, 0.3299, 0.8994)  1 B 2.15, 1 Si 2.40
Pt (0.6694, 0.7710, 0.5100)  1 B 2.16, 1 Si 2.39

---

# 2
The following is a DFT calculation (PBE) of Na2SnB2Pt5 after structural relaxation.

* magnetic moment: 0.000 μB/f.u.

a b c (Å): 3.0951 9.9568 9.9568
angles (deg): 90.00 90.00 90.00
With the nearest neighbours (Å) after each atom.
Positions (direct):
Na (0.0000, 0.6786, 0.1786)  3 B 2.82-3.04, 10 Pt 2.95-3.04, 2 Na 3.10
Na (0.0000, 0.3214, 0.8214)  3 B 2.82-3.04, 10 Pt 2.95-3.04, 2 Na 3.10
Na (0.0000, 0.1786, 0.3214)  3 B 2.82-3.04, 10 Pt 2.95-3.04, 2 Na 3.10
Na (0.0000, 0.8214, 0.6786)  3 B 2.82-3.04, 10 Pt 2.95-3.04, 2 Na 3.10
Sn (0.0000, 0.0000, 0.0000)  8 Pt 2.84, 2 Sn 3.10
Sn (0.0000, 0.5000, 0.5000)  8 Pt 2.84, 2 Sn 3.10
B (0.0000, 0.1210, 0.6210)  6 Pt 2.21-2.30
B (0.0000, 0.8790, 0.3790)  6 Pt 2.21-2.30
B (0.0000, 0.6210, 0.8790)  6 Pt 2.21-2.30
B (0.0000, 0.3790, 0.1210)  6 Pt 2.21-2.30
Pt (0.5000, 0.2294, 0.0681)  2 B 2.21
Pt (0.5000, 0.7706, 0.9319)  2 B 2.21
Pt (0.5000, 0.0681, 0.7706)  2 B 2.21
Pt (0.5000, 0.7294, 0.4319)  2 B 2.21
Pt (0.5000, 0.9319, 0.2294)  2 B 2.21
Pt (0.5000, 0.2706, 0.5681)  2 B 2.21
Pt (0.5000, 0.5681, 0.7294)  2 B 2.21
Pt (0.5000, 0.4319, 0.2706)  2 B 2.21
Pt (0.5000, 0.5000, 0.0000)  4 B 2.30
Pt (0.5000, 0.0000, 0.5000)  4 B 2.30

---

# 3
The following is a DFT calculation (PBE) of RbNa2B after structural relaxation.

* magnetic moment: 1.921 μB/f.u.

a b c (Å): 6.5296 6.5296 9.2157
angles (deg): 69.25 69.25 90.00
With the nearest neighbours (Å) after each atom.
Positions (direct):
Na (0.3751, 0.1250, 0.2500)  2 B 2.58
Na (0.3749, 0.6250, 0.2500)  2 B 2.58
Na (0.3750, 0.6249, 0.7500)  2 B 2.58
Na (0.8750, 0.6251, 0.7500)  2 B 2.58
B (0.5000, 0.5000, 0.0000)  4 Na 2.58
B (0.2500, 0.7500, 0.5000)  4 Na 2.58
Rb (0.0000, 0.0000, 0.0000)  8 Na 4.16, 4 B 4.62
Rb (0.7500, 0.2500, 0.5000)  8 Na 4.16, 4 B 4.62

---

# 4
The following is a DFT calculation (PBE) of Rb3NaB after structural relaxation.

* energy above the lowest structure with this stoichiometry: 0.000 eV per formula unit
* magnetic moment: 2.888 μB/f.u.

a b c (Å): 6.5867 6.5867 6.5867
angles (deg): 90.00 90.00 90.00
With the nearest neighbours (Å) after each atom.
Positions (direct):
Na (0.5000, 0.5000, 0.5000)  12 Rb 4.66
B (0.0000, 0.0000, 0.0000)  6 Rb 3.29
Rb (0.0000, 0.5000, 0.0000)  2 B 3.29
Rb (0.0000, 0.0000, 0.5000)  2 B 3.29
Rb (0.5000, 0.0000, 0.0000)  2 B 3.29

---

# 5
The following is a DFT calculation (PBE) of RbNaBS2 after structural relaxation.

* magnetic moment: 0.913 μB/f.u.
* raw formation energy: -0.51 eV/atom

a b c (Å): 4.7791 7.3036 8.1418
angles (deg): 104.76 90.00 90.00
With the nearest neighbours (Å) after each atom.
Positions (direct):
Rb (0.2609, 0.5000, 0.7500)  6 S 3.33-3.54
Rb (0.7391, 0.5000, 0.2500)  6 S 3.33-3.54
Na (0.4570, 0.0000, 0.2500)  4 S 2.85, 2 B 2.99
Na (0.5430, 0.0000, 0.7500)  4 S 2.85, 2 B 2.99
B (0.0000, 0.0000, 0.0000)  2 S 1.74
B (0.0000, 0.0000, 0.5000)  2 S 1.74
S (0.7903, 0.8001, 0.9710)  1 B 1.74
S (0.7903, 0.1999, 0.5290)  1 B 1.74
S (0.2097, 0.8001, 0.4710)  1 B 1.74
S (0.2097, 0.1999, 0.0290)  1 B 1.74

---

# 6
The following is a DFT calculation (PBE) of RbNaB2Sb after structural relaxation.

* magnetic moment: 0.000 μB/f.u.
* raw formation energy: 2.29 eV/atom

a b c (Å): 5.3381 6.3806 5.3381
angles (deg): 90.00 90.00 90.00
With the nearest neighbours (Å) after each atom.
Positions (direct):
Sb (0.0000, 0.5000, 0.0000)  2 Rb 3.19
B (0.0000, 0.0000, 0.5000)  2 Rb 2.67
B (0.5000, 0.0000, 0.0000)  2 Rb 2.67
Rb (0.0000, 0.0000, 0.0000)  4 B 2.67
Na (0.5000, 0.5000, 0.5000)  4 Sb 3.77, 8 B 4.16

---

# 7
The following is a DFT calculation (PBE) of Rb2NaB2Se6 after structural relaxation.

* magnetic moment: 0.335 μB/f.u.
* raw formation energy: -0.54 eV/atom

a b c (Å): 6.0983 7.0932 10.2338
angles (deg): 116.81 90.00 115.46
With the nearest neighbours (Å) after each atom.
Positions (direct):
Rb (0.6897, 0.3794, 0.1555)  7 Se 3.41-3.67
Rb (0.3103, 0.6206, 0.8445)  7 Se 3.41-3.67
Na (0.5000, 0.0000, 0.5000)  6 Se 3.05-3.24
B (0.9300, 0.8600, 0.6812)  3 Se 1.94-1.96
B (0.0700, 0.1400, 0.3188)  3 Se 1.94-1.96
Se (0.7622, 0.5244, 0.5247)  1 B 1.94
Se (0.2137, 0.9252, 0.2213)  1 B 1.96
Se (0.2885, 0.0748, 0.7787)  1 B 1.96
Se (0.7863, 0.0748, 0.7787)  1 B 1.96
Se (0.7115, 0.9252, 0.2213)  1 B 1.96
Se (0.2378, 0.4756, 0.4753)  1 B 1.94

---

# 8
The following is a DFT calculation (PBE) of Rb2NaSrB after structural relaxation.

* magnetic moment: 1.888 μB/f.u.

a b c (Å): 7.1049 5.0396 7.1049
angles (deg): 90.00 90.00 90.00
With the nearest neighbours (Å) after each atom.
Positions (direct):
Sr (0.5000, 0.5000, 0.5000)  8 Rb 4.36
B (0.0000, 0.5000, 0.0000)  2 Na 2.52
Rb (0.0000, 0.0000, 0.5000)  2 Na 3.55
Rb (0.5000, 0.0000, 0.0000)  2 Na 3.55
Na (0.0000, 0.0000, 0.0000)  2 B 2.52

---

# 9
The following is a DFT calculation (PBE) of RbNaSrB2 after structural relaxation.

* magnetic moment: 0.000 μB/f.u.

a b c (Å): 5.3387 5.9510 5.3387
angles (deg): 90.00 90.00 90.00
With the nearest neighbours (Å) after each atom.
Positions (direct):
Sr (0.0000, 0.5000, 0.0000)  2 Rb 2.98
B (0.0000, 0.0000, 0.5000)  2 Rb 2.67
B (0.5000, 0.0000, 0.0000)  2 Rb 2.67
Rb (0.0000, 0.0000, 0.0000)  4 B 2.67, 2 Sr 2.98
Na (0.5000, 0.5000, 0.5000)  4 Sr 3.78, 8 B 4.00

---

# 10
The following is a DFT calculation (PBE) of Na2ReB after structural relaxation.

* energy above the lowest structure with this stoichiometry: 0.000 eV per formula unit
* magnetic moment: 2.139 μB/f.u.

a b c (Å): 9.9186 9.9186 7.3163
angles (deg): 47.32 47.32 90.00
With the nearest neighbours (Å) after each atom.
Positions (direct):
Re (0.0000, 0.0000, 0.0000)  2 B 2.08
Re (0.7500, 0.2500, 0.5000)  2 B 2.08
B (0.5000, 0.5000, 0.0000)  2 Re 2.08
B (0.2500, 0.7500, 0.5000)  2 Re 2.08
Na (0.4677, 0.1250, 0.2500)  2 B 2.70
Na (0.2823, 0.6250, 0.2500)  2 B 2.70
Na (0.3750, 0.5323, 0.7500)  2 B 2.70
Na (0.8750, 0.7177, 0.7500)  2 B 2.70

---

# 11
The following is a DFT calculation (PBE) of Na3ReB after structural relaxation.

* energy above the lowest structure with this stoichiometry: 0.000 eV per formula unit
* magnetic moment: 3.405 μB/f.u.

a b c (Å): 5.0282 5.0282 5.0282
angles (deg): 90.00 90.00 90.00
With the nearest neighbours (Å) after each atom.
Positions (direct):
Re (0.5000, 0.5000, 0.5000)  12 Na 3.56
B (0.0000, 0.0000, 0.0000)  6 Na 2.51
Na (0.0000, 0.5000, 0.0000)  2 B 2.51
Na (0.0000, 0.0000, 0.5000)  2 B 2.51
Na (0.5000, 0.0000, 0.0000)  2 B 2.51

---

# 12
The following is a DFT calculation (PBE) of Na3ReB after structural relaxation.

* energy above the lowest structure with this stoichiometry: 2.477 eV per formula unit
* magnetic moment: 3.470 μB/f.u.

a b c (Å): 5.7303 5.7303 5.7303
angles (deg): 90.00 90.00 90.00
With the nearest neighbours (Å) after each atom.
Positions (direct):
Re (0.0000, 0.0000, 0.0000)  6 Na 2.87
B (0.5000, 0.5000, 0.5000)  12 Na 4.05
Na (0.0000, 0.5000, 0.0000)  2 Re 2.87
Na (0.0000, 0.0000, 0.5000)  2 Re 2.87
Na (0.5000, 0.0000, 0.0000)  2 Re 2.87

---

Q: Which VASP energy values were calculated for the entries above? A: -5.417 -5.382 -1.608 -1.415 -3.958 -1.659 -3.951 -1.338 -1.347 -4.253 -2.753 -2.257, in eV/atom.